i:
## MgZn4Rh2 (GGA-PBE)

Data for a relaxed structure of MgZn4Rh2.

Results
- crystal system = tetragonal
- space-group type = I4/mmm (139)

a b c (Å): 4.5982 4.5982 7.2532
angles (deg): 71.52 71.52 90.00
Positions (direct):
Zn: 0.0000 0.5000 0.0000
Zn: 0.2077 0.2077 0.5845
Zn: 0.5000 0.0000 0.0000
Zn: 0.7923 0.7923 0.4155
Mg: 0.0000 0.0000 0.0000
Rh: 0.3970 0.3970 0.2059
Rh: 0.6030 0.6030 0.7941

***

ii:
## MgZn4Rh2 (GGA-PBE)

Data for a relaxed structure of MgZn4Rh2.

Results
- crystal system = tetragonal
- space-group type = I4/mmm (139)

a b c (Å): 6.0416 6.0416 5.2574
angles (deg): 125.18 125.18 89.90
Positions (direct):
Rh: 0.7857 0.2859 0.5715
Rh: 0.2859 0.7857 0.5715
Zn: 0.7860 0.7860 0.0719
Zn: 0.2855 0.2855 0.0711
Zn: 0.2857 0.7857 0.0714
Zn: 0.7857 0.2857 0.0714
Mg: 0.7855 0.7855 0.5712

***

Least stable structure: i

***

i:
## Mg2Zn4Rh (GGA-PBE)

Data for a relaxed structure of Mg2Zn4Rh.

Results
- crystal system = monoclinic
- space-group type = P2_1/m (11)

a b c (Å): 5.0906 7.3964 6.7672
angles (deg): 108.48 90.00 90.00
Positions (direct):
Zn: 0.2500 0.0117 0.9800
Zn: 0.2500 0.4780 0.6662
Zn: 0.9992 0.7920 0.6509
Zn: 0.5008 0.7920 0.6509
Zn: 0.0008 0.2080 0.3491
Zn: 0.7500 0.9883 0.0200
Zn: 0.7500 0.5220 0.3338
Zn: 0.4992 0.2080 0.3491
Mg: 0.2500 0.8149 0.2789
Mg: 0.7500 0.6178 0.9541
Mg: 0.2500 0.3822 0.0459
Mg: 0.7500 0.1851 0.7211
Rh: 0.2500 0.1187 0.6503
Rh: 0.7500 0.8813 0.3497

***

ii:
## Mg2Zn4Rh (GGA-PBE)

Data for a relaxed structure of Mg2Zn4Rh.

Results
- crystal system = orthorhombic
- space-group type = Cmmm (65)

a b c (Å): 4.2236 5.2848 6.6981
angles (deg): 113.23 90.00 90.00
Positions (direct):
Zn: 0.0000 0.7143 0.4287
Zn: 0.0000 0.2857 0.5713
Zn: 0.5000 0.6091 0.2182
Zn: 0.5000 0.3909 0.7818
Mg: 0.5000 0.8687 0.7374
Mg: 0.5000 0.1313 0.2626
Rh: 0.0000 0.5000 0.0000

***

Least stable structure: ii

***

i:
## Mg2ZrRh3 (GGA-PBE)

Data for a relaxed structure of Mg2ZrRh3.

Results
- crystal system = tetragonal
- space-group type = P4/mmm (123)

a b c (Å): 3.2272 3.2272 9.3378
angles (deg): 90.00 90.00 90.00
Positions (direct):
Mg: 0.5000 0.5000 0.1560
Mg: 0.5000 0.5000 0.8440
Rh: 0.0000 0.0000 0.0000
Rh: 0.0000 0.0000 0.6684
Rh: 0.0000 0.0000 0.3316
Zr: 0.5000 0.5000 0.5000

***

ii:
## Mg2ZrRh3 (GGA-PBE)

Data for a relaxed structure of Mg2ZrRh3.

Results
- crystal system = trigonal
- space-group type = P-3m1 (164)

a b c (Å): 4.5100 4.5100 10.9666
angles (deg): 90.00 90.00 120.00
Positions (direct):
Zr: 0.3333 0.6667 0.6714
Zr: 0.6667 0.3333 0.3286
Rh: 0.0000 0.0000 0.7516
Rh: 0.3333 0.6667 0.4162
Rh: 0.6667 0.3333 0.5838
Rh: 0.6667 0.3333 0.0853
Rh: 0.3333 0.6667 0.9147
Rh: 0.0000 0.0000 0.2484
Mg: 0.0000 0.0000 0.5000
Mg: 0.6667 0.3333 0.8416
Mg: 0.0000 0.0000 0.0000
Mg: 0.3333 0.6667 0.1584

***

Least stable structure: i

***

i:
## MgZrRh3 (GGA-PBE)

Data for a relaxed structure of MgZrRh3.

Results
- crystal system = cubic
- space-group type = Pm-3m (221)

a b c (Å): 4.4541 4.4541 4.4541
angles (deg): 90.00 90.00 90.00
Positions (direct):
Mg: 0.0000 0.0000 0.0000
Rh: 0.5000 0.0000 0.0000
Rh: 0.0000 0.0000 0.5000
Rh: 0.0000 0.5000 0.0000
Zr: 0.5000 0.5000 0.5000

***

ii:
## MgZrRh3 (GGA-PBE)

Data for a relaxed structure of MgZrRh3.

Results
- crystal system = cubic
- space-group type = Pm-3m (221)

a b c (Å): 4.8025 4.8025 4.8025
angles (deg): 90.00 90.00 90.00
Positions (direct):
Rh: 0.0000 0.5000 0.0000
Rh: 0.5000 0.0000 0.0000
Rh: 0.0000 0.0000 0.5000
Zr: 0.0000 0.0000 0.0000
Mg: 0.5000 0.5000 0.5000

***

Least stable structure: ii

***

i:
## MgZr2Rh3 (GGA-PBE)

Data for a relaxed structure of MgZr2Rh3.

Results
- crystal system = orthorhombic
- space-group type = Cmmm (65)

a b c (Å): 3.3679 4.5168 7.1383
angles (deg): 108.44 90.00 90.00
Positions (direct):
Zr: 0.0000 0.6606 0.3212
Zr: 0.0000 0.3394 0.6788
Rh: 0.5000 0.8291 0.6581
Rh: 0.5000 0.5000 0.0000
Rh: 0.5000 0.1709 0.3419
Mg: 0.0000 0.0000 0.0000

***

ii:
## MgZr2Rh3 (GGA-PBE)

Data for a relaxed structure of MgZr2Rh3.

Results
- crystal system = tetragonal
- space-group type = P4/mmm (123)

a b c (Å): 3.3140 3.3140 9.4328
angles (deg): 90.00 90.00 90.00
Positions (direct):
Rh: 0.0000 0.0000 0.6691
Rh: 0.0000 0.0000 0.3309
Rh: 0.0000 0.0000 0.0000
Mg: 0.5000 0.5000 0.5000
Zr: 0.5000 0.5000 0.8237
Zr: 0.5000 0.5000 0.1763

***

Least stable structure: i

***

i:
## Mg2Ru3 (GGA-PBE)

Data for a relaxed structure of Mg2Ru3.

Results
- crystal system = trigonal
- space-group type = P-3m1 (164)

a b c (Å): 4.1562 4.1562 5.5420
angles (deg): 90.00 90.00 120.00
Positions (direct):
Mg: 0.3333 0.6667 0.8626
Mg: 0.6667 0.3333 0.1374
Ru: 0.0000 0.0000 0.0000
Ru: 0.3333 0.6667 0.4086
Ru: 0.6667 0.3333 0.5914

***

ii:
## Mg2Ru3 (GGA-PBE)

Data for a relaxed structure of Mg2Ru3.

Results
- crystal system = trigonal
- space-group type = R-3m (166)

a b c (Å): 11.2493 11.2493 11.2493
angles (deg): 14.39 14.39 14.39
Positions (direct):
Mg: 0.4008 0.4008 0.4008
Mg: 0.5992 0.5992 0.5992
Ru: 0.8035 0.8035 0.8035
Ru: 0.0000 0.0000 0.0000
Ru: 0.1965 0.1965 0.1965

***

iii:
## Mg2Ru3 (GGA-PBE)

Data for a relaxed structure of Mg2Ru3.

Results
- crystal system = orthorhombic
- space-group type = Fdd2 (43)

a b c (Å): 8.2981 7.4010 5.2675
angles (deg): 79.91 61.41 38.68
Positions (direct):
Mg: 0.3763 0.5236 0.2529
Mg: 0.8472 0.2529 0.5236
Mg: 0.9971 0.4028 0.8737
Mg: 0.7264 0.8737 0.4028
Ru: 0.2766 0.2234 0.2234
Ru: 0.3274 0.4316 0.8185
Ru: 0.8184 0.9226 0.8276
Ru: 0.4315 0.8276 0.9226
Ru: 0.0266 0.9734 0.9734
Ru: 0.4224 0.8185 0.4316

***

Least stable structure: i